## RbSrZnSb2 (GGA-PBE)

Data for crystalline RbSrZnSb2 at its relaxed geometry.

Structure (POSCAR):
```
RbSrZnSb2
1.0
6.114 0.000 0.000
0.000 6.247 0.000
0.000 0.000 6.114
Sb Zn Rb Sr
2 1 1 1
Cartesian
0.000 0.000 3.057
3.057 0.000 0.000
3.057 3.123 3.057
0.000 0.000 0.000
0.000 3.123 0.000
```

Results
electronic total energy	-0.0560	hartree per atom
Fermi-level density of states	3.4	states/eV/cell
space-group type	P4/mmm (123)

---

## LaPr4Tm5 (GGA-PBE)

Data for crystalline LaPr4Tm5 at its relaxed geometry.

Structure (POSCAR):
```
LaPr4Tm5
1.0
3.639 0.000 0.000
0.000 3.639 0.000
0.000 0.000 25.018
La Pr Tm
1 4 5
Cartesian
0.000 0.000 0.000
0.000 0.000 5.011
0.000 0.000 10.010
0.000 0.000 15.008
0.000 0.000 20.007
1.819 1.819 2.527
1.819 1.819 7.514
1.819 1.819 12.509
1.819 1.819 17.505
1.819 1.819 22.492
```

Results
formation energy from the elements	0.023	eV/atom
electronic total energy	-0.1697	hartree per atom
Fermi-level density of states	14.5	states/eV/cell
space-group type	P4/mmm (123)

---

## ScBiS2 (GGA-PBE)

Data for crystalline ScBiS2 at its relaxed geometry.

Structure (POSCAR):
```
ScBiS2
1.0
0.890 7.692 -14.198
0.390 -4.303 -7.367
-7.491 -1.282 3.896
Sc S Bi
8 16 8
Cartesian
-2.010 0.409 -7.414
-6.816 -3.854 -4.216
-4.201 1.699 -10.255
0.604 5.961 -13.453
-1.927 -1.092 -10.828
-2.386 -3.412 -6.154
-4.285 3.200 -6.841
-3.825 5.520 -11.515
-4.209 -3.969 -4.262
-1.932 2.636 -6.056
-2.002 6.077 -13.407
-4.280 -0.528 -11.613
-6.552 4.186 -7.067
-3.283 3.177 -12.132
0.340 -2.079 -10.602
-2.929 -1.070 -5.537
-1.685 1.149 -9.838
0.941 4.146 -20.033
-4.527 0.958 -7.831
-7.153 -2.038 2.364
-4.220 4.230 -9.259
-1.992 -2.123 -8.410
0.711 3.499 -14.406
-6.922 -1.391 -3.263
-2.842 -0.034 -3.179
-5.026 -2.658 -7.983
-3.369 2.141 -14.490
-1.186 4.765 -9.686
-5.730 1.127 -3.678
-4.917 -1.395 -1.285
-0.481 0.981 -13.991
-1.295 3.502 -16.384
```

Results
electronic total energy	-0.2108	hartree per atom
Fermi-level density of states	0.0	states/eV/cell
space-group type	C2/c (15)

---

What is the electronic total energy in the third record?
-0.2108 hartree per atom

---

Which formula does entry 1 have?
RbSrZnSb2

---

Among the records above, which one has the highest electronic total energy?
RbSrZnSb2

---

Number 1 is which compound?
RbSrZnSb2